CoTe2As | Alexandria | meta-GGA SCAN | single point on PBEsol structure; space group = No. 8; DOS(E_F) = 2.105 states/eV/f.u.; ρ = 7.022 g/cm3; V = 23.0 A^3/atom; formation energy (no corrections) = 0.054 eV per atom
1.0
3.581 0.000 0.000
-1.791 3.981 -0.023
0.000 -2.376 6.468
As Te Co
1 2 1
Direct
0.416 0.833 0.375
0.100 0.200 0.079
0.276 0.553 0.671
0.707 0.415 0.375